Crystalline CsTl12Au7 at its relaxed geometry, computed with GGA-PBE.

The structure in extended XYZ format:
```
20
Lattice="7.565 4.367 2.874 -7.565 4.367 2.874 0.000 -8.735 2.874" Properties=species:S:1:pos:R:3 pbc="T T T"
Cs 0.000 0.000 0.000
Tl -1.864 -5.255 2.880
Tl -2.315 -1.572 3.091
Tl -3.619 4.242 2.880
Tl -5.483 -1.013 5.743
Tl -0.204 2.791 3.091
Tl 2.519 -1.219 3.091
Tl -2.519 1.219 5.532
Tl 0.204 -2.791 5.532
Tl 5.483 1.013 2.880
Tl 3.619 -4.242 5.743
Tl 2.315 1.572 5.532
Tl 1.864 5.255 5.743
Au -2.730 1.298 2.505
Au 0.241 -3.013 2.505
Au -2.489 -1.715 6.118
Au 0.000 0.000 4.312
Au 2.489 1.715 2.505
Au -0.241 3.013 6.118
Au 2.730 -1.298 6.118
```

Summary:
size of the total moment: 0.000 μB/f.u.
total DFT energy (no corrections): -2.646 eV per atom
symmetry: R-3, No. 148
energy of formation: -0.037 eV per atom